[1]
Entry from Alexandria via LeMat-Bulk: CaP2Pd4 after structural relaxation (PBE).

E above lowest polymorph = 0.00 kJ per mole of atoms
total magnetization = 0.00 μB per formula unit
D(E_F) = 5.58 states/eV/cell
energy of formation = -5.1 eV/f.u.

Unit cell a=7.838 b=7.838 c=3.733 alpha=90.00 beta=90.00 gamma=90.00
Positions (direct):
Ca  0.000  0.000  0.000
Ca  0.500  0.500  0.500
P  0.228  0.228  0.500
P  0.272  0.728  0.000
P  0.728  0.272  0.000
P  0.772  0.772  0.500
Pd  0.074  0.679  0.500
Pd  0.179  0.426  0.000
Pd  0.321  0.926  0.500
Pd  0.426  0.179  0.000
Pd  0.574  0.821  0.000
Pd  0.679  0.074  0.500
Pd  0.821  0.574  0.000
Pd  0.926  0.321  0.500

[2]
Entry from Alexandria via LeMat-Bulk: Ca2PPd after structural relaxation (PBE).

total magnetization = 0.00 μB per formula unit
D(E_F) = 2.03 states/eV/cell
energy of formation = -1.5 eV/f.u.

Unit cell a=8.823 b=8.823 c=8.823 alpha=26.94 beta=26.94 gamma=26.94
Positions (direct):
Ca  0.109  0.109  0.109
Ca  0.891  0.891  0.891
P  0.500  0.500  0.500
Pd  0.000  0.000  0.000

[3]
Entry from Alexandria via LeMat-Bulk: Ca2P7Pd12 after structural relaxation (PBE).

total magnetization = 0.00 μB per formula unit
D(E_F) = 10.16 states/eV/cell
energy of formation = -13.4 eV/f.u.

Unit cell a=9.800 b=9.800 c=4.010 alpha=90.00 beta=90.00 gamma=120.00
Positions (direct):
Ca  0.333  0.667  0.249
Ca  0.667  0.333  0.751
P  0.000  0.000  0.000
P  0.119  0.412  0.748
P  0.294  0.881  0.748
P  0.412  0.294  0.252
P  0.588  0.706  0.748
P  0.706  0.119  0.252
P  0.881  0.588  0.252
Pd  0.062  0.622  0.750
Pd  0.104  0.853  0.260
Pd  0.147  0.251  0.260
Pd  0.251  0.104  0.740
Pd  0.378  0.440  0.750
Pd  0.440  0.062  0.250
Pd  0.560  0.938  0.750
Pd  0.622  0.560  0.250
Pd  0.749  0.896  0.260
Pd  0.853  0.749  0.740
Pd  0.896  0.147  0.740
Pd  0.938  0.378  0.250

[4]
Entry from Alexandria via LeMat-Bulk: CaP3Pd after structural relaxation (PBE).

E above lowest polymorph = 0.00 kJ per mole of atoms
total magnetization = 0.00 μB per formula unit
D(E_F) = 5.01 states/eV/cell
energy of formation = 0.7 eV/f.u.

Unit cell a=4.760 b=4.760 c=4.760 alpha=90.00 beta=90.00 gamma=90.00
Positions (direct):
Ca  0.000  0.000  0.000
P  0.000  0.500  0.500
P  0.500  0.000  0.500
P  0.500  0.500  0.000
Pd  0.500  0.500  0.500

[5]
Entry from Alexandria via LeMat-Bulk: Ca2PPd after structural relaxation (PBE).

total magnetization = 0.00 μB per formula unit
D(E_F) = 3.42 states/eV/cell
energy of formation = -2.0 eV/f.u.

Unit cell a=6.326 b=6.326 c=6.326 alpha=105.40 beta=105.40 gamma=117.96
Positions (direct):
Ca  0.116  0.625  0.991
Ca  0.375  0.366  0.491
Ca  0.634  0.125  0.009
Ca  0.875  0.884  0.509
P  0.000  0.000  0.000
P  0.750  0.250  0.500
Pd  0.250  0.750  0.500
Pd  0.500  0.500  0.000

[6]
Entry from Alexandria via LeMat-Bulk: CaP6Pd12 after structural relaxation (PBE).

total magnetization = 0.00 μB per formula unit
D(E_F) = 10.63 states/eV/cell
energy of formation = -8.9 eV/f.u.

Unit cell a=7.051 b=7.051 c=7.051 alpha=104.00 beta=104.00 gamma=104.00
Positions (direct):
Ca  0.000  0.000  0.000
P  0.238  0.238  0.670
P  0.238  0.670  0.238
P  0.330  0.762  0.762
P  0.670  0.238  0.238
P  0.762  0.330  0.762
P  0.762  0.762  0.330
Pd  0.127  0.500  0.873
Pd  0.127  0.873  0.500
Pd  0.179  0.447  0.447
Pd  0.447  0.179  0.447
Pd  0.447  0.447  0.179
Pd  0.500  0.127  0.873
Pd  0.500  0.873  0.127
Pd  0.553  0.553  0.821
Pd  0.553  0.821  0.553
Pd  0.821  0.553  0.553
Pd  0.873  0.127  0.500
Pd  0.873  0.500  0.127

Repeat the fourth record exactly.
Entry from Alexandria via LeMat-Bulk: CaP3Pd after structural relaxation (PBE).

E above lowest polymorph = 0.00 kJ per mole of atoms
total magnetization = 0.00 μB per formula unit
D(E_F) = 5.01 states/eV/cell
energy of formation = 0.7 eV/f.u.

Unit cell a=4.760 b=4.760 c=4.760 alpha=90.00 beta=90.00 gamma=90.00
Positions (direct):
Ca  0.000  0.000  0.000
P  0.000  0.500  0.500
P  0.500  0.000  0.500
P  0.500  0.500  0.000
Pd  0.500  0.500  0.500

Q: Which value of energy of formation does entry 2 give?
A: -1.5 eV/f.u.